This record from Alexandria describes PuCu2Ge2 after structural relaxation. The functional is PBE-GGA.

Properties
Total energy = -6.649 eV/atom
Magnetization = 10.48 μB/cell
Mass density = 9873 kg/m³

```
data_PuCu2Ge2
_space_group_name_H-M_alt 'P 4/n m m'
_space_group_IT_number 129
_cell_length_a 4.1604
_cell_length_b 4.1604
_cell_length_c 10.0349
_cell_angle_alpha 90.00
_cell_angle_beta 90.00
_cell_angle_gamma 90.00
loop_
_space_group_symop_operation_xyz
'x,y,z'
'-x,-y,-z'
'-y+1/2,x,z'
'y+1/2,-x,-z'
'-x+1/2,-y+1/2,z'
'x+1/2,y+1/2,-z'
'y,-x+1/2,z'
'-y,x+1/2,-z'
'x+1/2,-y,-z'
'-x+1/2,y,z'
'-y,-x,-z'
'y,x,z'
'-x,y+1/2,-z'
'x,-y+1/2,z'
'y+1/2,x+1/2,-z'
'-y+1/2,-x+1/2,z'
loop_
_atom_site_label
_atom_site_fract_x
_atom_site_fract_y
_atom_site_fract_z
Pu1 0.2500 0.2500 0.2473
Cu1 0.2500 0.2500 0.6306
Cu2 0.2500 0.7500 0.0000
Ge1 0.2500 0.2500 0.8661
Ge2 0.2500 0.7500 0.5000
```